# Ce3Si2Rh3

A relaxed structure of Ce3Si2Rh3 (PBE, Alexandria).

Results
- Total moment: 1.36 μB/f.u.
- Uncorrected formation energy: -7.30 eV per formula unit
- Electronic total energy: -232.00 eV/cell

Unit cell a=7.681 b=14.792 c=5.634 alpha=90.00 beta=90.00 gamma=90.00
Space group Pnma (No. 62)
One atom of each set of equivalent atoms:
Ce 0.029 0.108 0.144
Ce 0.164 0.250 0.622
Si 0.122 0.603 0.353
Rh 0.165 0.035 0.595
Rh 0.191 0.750 0.594